No. 1
Material: MgZrCo
Method: DFT, GGA-PBE
State: relaxed

Lattice parameters (Å, degrees): 4.439 4.439 4.439 60.00 60.00 60.00
Element x y z (fractional)
1 Mg 0.500 0.500 0.500
2 Zr 0.750 0.750 0.750
3 Co 0.000 0.000 0.000

## Properties
* formation enthalpy at 0 K: 0.7785 eV/atom
* total magnetic moment: 0.0 μB/f.u.
* V: 62 Å³ per cell
* distance to the lowest polymorph of the same formula: 977 meV per atom
* mass density: 4.69 Mg/m³

No. 2
Material: MgZr2Co
Method: DFT, GGA-PBE
State: relaxed

Lattice parameters (Å, degrees): 4.707 4.707 4.707 60.00 60.00 60.00
Site moments in Bohr magnetons follow the coordinates.
Element x y z (fractional)
1 Zr 0.000 0.000 0.000  0.56
2 Zr 0.750 0.750 0.750  0.21
3 Mg 0.250 0.250 0.250  0.00
4 Co 0.500 0.500 0.500  0.16

## Properties
* formation enthalpy at 0 K: 0.2392 eV/atom
* total magnetic moment: 1.1 μB/f.u.
* V: 74 Å³ per cell
* mass density: 5.98 Mg/m³

No. 3
Material: Mg2ZrCo
Method: DFT, GGA-PBE
State: relaxed

Lattice parameters (Å, degrees): 4.643 3.005 5.398 73.64 90.00 90.00
Element x y z (fractional)
1 Mg 0.000 0.907 0.975
2 Zr 0.500 0.250 0.250
3 Co 0.500 0.750 0.750
4 Mg 0.000 0.593 0.525

## Properties
* formation enthalpy at 0 K: 0.1624 eV/atom
* total magnetic moment: 0.0 μB/f.u.
* V: 72 Å³ per cell
* mass density: 4.57 Mg/m³

No. 4
Material: Mg2ZrCo
Method: DFT, GGA-PBE
State: relaxed

Lattice parameters (Å, degrees): 5.808 5.808 2.886 78.91 78.91 123.24
Site moments in Bohr magnetons follow the coordinates.
Element x y z (fractional)
1 Mg 0.500 0.500 0.000  0.00
2 Co 0.000 0.500 0.500  1.22
3 Mg 0.000 0.000 0.000  0.00
4 Zr 0.500 0.000 0.500  -0.07

## Properties
* formation enthalpy at 0 K: 0.2434 eV/atom
* total magnetic moment: 1.0 μB/f.u.
* V: 74 Å³ per cell
* mass density: 4.43 Mg/m³

No. 5
Material: Mg2ZrCo2
Method: DFT, GGA-PBE
State: relaxed

Lattice parameters (Å, degrees): 7.168 7.168 3.097 90.00 90.00 90.00
Element x y z (fractional)
1 Mg 0.142 0.642 0.500
2 Mg 0.358 0.142 0.500
3 Co 0.343 0.843 0.000
4 Zr 0.000 0.000 0.000
5 Co 0.657 0.157 0.000
6 Co 0.843 0.657 0.000
7 Mg 0.858 0.358 0.500
8 Mg 0.642 0.858 0.500
9 Co 0.157 0.343 0.000
10 Zr 0.500 0.500 0.000

## Properties
* formation enthalpy at 0 K: 0.0784 eV/atom
* total magnetic moment: 0.0 μB/f.u.
* V: 159 Å³ per cell
* distance to the lowest polymorph of the same formula: 0 meV per atom
* mass density: 5.38 Mg/m³

No. 6
Material: MgZr2Co
Method: DFT, GGA-PBE
State: relaxed

Lattice parameters (Å, degrees): 5.393 5.393 5.393 136.14 136.14 63.76
Element x y z (fractional)
1 Zr 0.000 0.000 0.000
2 Co 0.500 0.500 0.000
3 Zr 0.250 0.750 0.500
4 Mg 0.750 0.250 0.500

## Properties
* formation enthalpy at 0 K: 0.1324 eV/atom
* total magnetic moment: 0.0 μB/f.u.
* V: 74 Å³ per cell
* mass density: 5.94 Mg/m³

No. 7
Material: Mg2ZrCo
Method: DFT, GGA-PBE
State: relaxed

Lattice parameters (Å, degrees): 3.831 3.831 10.697 79.68 79.68 90.00
Element x y z (fractional)
1 Mg 0.875 0.861 0.750
2 Co 0.250 0.750 0.500
3 Mg 0.375 0.389 0.750
4 Mg 0.139 0.625 0.250
5 Zr 0.000 0.000 0.000
6 Zr 0.750 0.250 0.500
7 Mg 0.611 0.125 0.250
8 Co 0.500 0.500 0.000

## Properties
* formation enthalpy at 0 K: 0.3399 eV/atom
* total magnetic moment: 0.0 μB/f.u.
* V: 152 Å³ per cell
* mass density: 4.35 Mg/m³

No. 8
Material: MnCo5
Method: DFT, GGA-PBE
State: relaxed

Lattice parameters (Å, degrees): 4.336 4.336 3.987 90.00 90.00 120.00
Site moments in Bohr magnetons follow the coordinates.
Element x y z (fractional)
1 Co 0.333 0.661 0.000  1.20
2 Co 0.000 0.333 0.500  1.24
3 Co 0.673 0.339 0.000  1.20
4 Co 0.667 0.667 0.500  1.24
5 Co 0.994 0.000 0.000  1.20
6 Mn 0.333 0.000 0.500  -2.55

## Properties
* formation enthalpy at 0 K: 0.0431 eV/atom
* total magnetic moment: 3.4 μB/f.u.
* V: 65 Å³ per cell
* mass density: 8.94 Mg/m³